First-principles (PBE) data for a relaxed TiZn2Cd crystal, as listed in the Alexandria database.

extended XYZ file:
```
4
Lattice="-3.484 -1.315 0.574 1.510 -3.937 0.141 0.550 0.361 4.167" Properties=species:S:1:pos:R:3 pbc="T T T"
Zn 0.275 0.180 2.084
Zn 0.755 -1.969 0.071
Ti -1.742 -0.658 0.287
Cd -0.712 -2.446 2.441
```

space group	No. 123
DFT formation energy	-0.075	eV per atom
density	7.21	g/cm3
crystal system	tetragonal